# ZnGe2P

Crystalline ZnGe2P at its relaxed geometry (PBE-GGA, Alexandria via LeMat-Bulk).

a = 4.631 Å, b = 4.631 Å, c = 4.631 Å
α = 60.00°, β = 60.00°, γ = 60.00°
Atoms (fractional coordinates):
P (0.000, 0.000, 0.000)
Ge (0.250, 0.250, 0.250)
Ge (0.750, 0.750, 0.750)
Zn (0.500, 0.500, 0.500)

Values from the calculation:
For the energy of formation from the pure elements, the calculation gives 0.419 eV/atom. As for the distance to the lowest polymorph of the same formula: 0.452 eV/atom. The density of states at the Fermi level is 2.2 states/eV/f.u.